(1)
The following is a DFT calculation (PBE) of an optimized crystal structure of Ce2SbAs3Ir4.

Values from the calculation:
- formation energy (no corrections) (eV per atom) = -0.673
- N(E_F) (states/eV/f.u.) = 9.8
- total energy (eV/f.u.) = -72.1

abc: 4.213 4.213 10.824
angles: 90.00 90.00 90.00
Positions (direct):
Ce 0.000 0.500 0.235
Ce 0.500 0.000 0.765
Sb 0.000 0.000 0.500
As 0.000 0.500 0.867
As 0.500 0.000 0.133
As 0.500 0.500 0.500
Ir 0.000 0.000 0.000
Ir 0.000 0.500 0.645
Ir 0.500 0.000 0.355
Ir 0.500 0.500 0.000

---

(2)
The following is a DFT calculation (PBE) of an optimized crystal structure of CePmPaPb.

Values from the calculation:
- N(E_F) (states/eV/f.u.) = 10.2
- E_form (meV/atom) = 116
- total energy (eV/f.u.) = -23.4

abc: 5.448 5.448 5.448
angles: 60.00 60.00 60.00
Positions (direct):
Ce 0.000 0.000 0.000
Pm 0.500 0.500 0.500
Pa 0.250 0.250 0.250
Pb 0.750 0.750 0.750